# 1
The following is a DFT calculation (PBE-GGA) of MgGeMoRu2 after structural relaxation.

Geometry as CIF:
```
data_MgGeMoRu2
_chemical_formula_sum 'Mg1 Ge1 Mo1 Ru2'
_space_group_name_H-M_alt 'P 4/m m m'
_space_group_IT_number 123
_space_group_name_Hall '-P 4 2'
_cell_length_a 4.462
_cell_length_b 4.462
_cell_length_c 4.665
_cell_angle_alpha 90.00
_cell_angle_beta 90.00
_cell_angle_gamma 90.00
loop_
_atom_site_label
_atom_site_type_symbol
_atom_site_fract_x
_atom_site_fract_y
_atom_site_fract_z
Mg1 Mg 0.000 0.000 0.000
Ge1 Ge 0.500 0.500 0.500
Mo1 Mo 0.000 0.000 0.500
Ru1 Ru 0.000 0.500 0.000
```

- Formation energy: 171 kJ per mole of atoms
- Density of states at the Fermi level: 4.1 states/eV/cell


# 2
The following is a DFT calculation (PBE-GGA) of MgTcGeMo after structural relaxation.

Geometry as CIF:
```
data_MgTcGeMo
_chemical_formula_sum 'Mg4 Tc4 Ge4 Mo4'
_space_group_name_H-M_alt 'F -4 3 m'
_space_group_IT_number 216
_space_group_name_Hall 'F -4 2 3'
_cell_length_a 6.243
_cell_length_b 6.243
_cell_length_c 6.243
_cell_angle_alpha 90.00
_cell_angle_beta 90.00
_cell_angle_gamma 90.00
loop_
_atom_site_label
_atom_site_type_symbol
_atom_site_fract_x
_atom_site_fract_y
_atom_site_fract_z
Mg1 Mg 0.000 0.000 0.000
Tc1 Tc 0.000 0.000 0.500
Ge1 Ge 0.250 0.250 0.250
Mo1 Mo 0.250 0.250 0.750
```

- Formation energy: 7 kJ per mole of atoms
- Density of states at the Fermi level: 12.0 states/eV/cell


# 3
The following is a DFT calculation (PBE-GGA) of MgGeTeMo2 after structural relaxation.

Geometry as CIF:
```
data_MgGeTeMo2
_chemical_formula_sum 'Mg1 Ge1 Te1 Mo2'
_space_group_name_H-M_alt 'P 4/m m m'
_space_group_IT_number 123
_space_group_name_Hall '-P 4 2'
_cell_length_a 5.028
_cell_length_b 5.028
_cell_length_c 5.105
_cell_angle_alpha 90.00
_cell_angle_beta 90.00
_cell_angle_gamma 90.00
loop_
_atom_site_label
_atom_site_type_symbol
_atom_site_fract_x
_atom_site_fract_y
_atom_site_fract_z
Mg1 Mg 0.000 0.000 0.000
Ge1 Ge 0.500 0.500 0.000
Te1 Te 0.000 0.000 0.500
Mo1 Mo 0.000 0.500 0.500
```

- Density of states at the Fermi level: 2.9 states/eV/cell
- Raw formation energy: 1.494 eV/atom


# 4
The following is a DFT calculation (PBE-GGA) of Mg7GeN6 after structural relaxation.

Geometry as CIF:
```
data_Mg7GeN6
_chemical_formula_sum 'Mg28 Ge4 N24'
_space_group_name_H-M_alt 'I b a m'
_space_group_IT_number 72
_space_group_name_Hall '-I 2 2c'
_cell_length_a 5.528
_cell_length_b 10.456
_cell_length_c 11.720
_cell_angle_alpha 90.00
_cell_angle_beta 90.00
_cell_angle_gamma 90.00
loop_
_atom_site_label
_atom_site_type_symbol
_atom_site_fract_x
_atom_site_fract_y
_atom_site_fract_z
Mg1 Mg 0.000 0.000 0.250
Mg2 Mg 0.090 0.268 0.117
Mg3 Mg 0.218 0.041 0.000
Ge1 Ge 0.000 0.500 0.250
N1 N 0.142 0.155 0.500
N2 N 0.206 0.391 0.332
```

- Raw formation energy: -0.608 eV/atom


# 5
The following is a DFT calculation (PBE-GGA) of MgGeN3 after structural relaxation.

Geometry as CIF:
```
data_MgGeN3
_chemical_formula_sum 'Mg1 Ge1 N3'
_space_group_name_H-M_alt 'P m -3 m'
_space_group_IT_number 221
_space_group_name_Hall '-P 4 2 3'
_cell_length_a 4.019
_cell_length_b 4.019
_cell_length_c 4.019
_cell_angle_alpha 90.00
_cell_angle_beta 90.00
_cell_angle_gamma 90.00
loop_
_atom_site_label
_atom_site_type_symbol
_atom_site_fract_x
_atom_site_fract_y
_atom_site_fract_z
Mg1 Mg 0.000 0.000 0.000
Ge1 Ge 0.500 0.500 0.500
N1 N 0.000 0.000 0.500
```

- Density of states at the Fermi level: 1.9 states/eV/cell
- Raw formation energy: 1.746 eV/atom


# 6
The following is a DFT calculation (PBE-GGA) of MgGeN2 after structural relaxation.

Geometry as CIF:
```
data_MgGeN2
_chemical_formula_sum 'Mg4 Ge4 N8'
_space_group_name_H-M_alt 'C 1 m 1'
_space_group_IT_number 8
_space_group_name_Hall 'C -2y'
_cell_length_a 10.653
_cell_length_b 3.182
_cell_length_c 5.795
_cell_angle_alpha 90.00
_cell_angle_beta 98.52
_cell_angle_gamma 90.00
loop_
_atom_site_label
_atom_site_type_symbol
_atom_site_fract_x
_atom_site_fract_y
_atom_site_fract_z
Mg1 Mg 0.000 0.000 0.000
Mg2 Mg 0.249 0.000 0.754
Ge1 Ge 0.246 0.500 0.267
Ge2 Ge 0.496 0.000 0.515
N1 N 0.173 0.500 0.542
N2 N 0.200 0.000 0.094
N3 N 0.430 0.500 0.332
N4 N 0.443 0.000 0.796
```

- Raw formation energy: -0.495 eV/atom


# 7
The following is a DFT calculation (PBE-GGA) of MgGe3N after structural relaxation.

Geometry as CIF:
```
data_MgGe3N
_chemical_formula_sum 'Mg1 Ge3 N1'
_space_group_name_H-M_alt 'P m -3 m'
_space_group_IT_number 221
_space_group_name_Hall '-P 4 2 3'
_cell_length_a 4.448
_cell_length_b 4.448
_cell_length_c 4.448
_cell_angle_alpha 90.00
_cell_angle_beta 90.00
_cell_angle_gamma 90.00
loop_
_atom_site_label
_atom_site_type_symbol
_atom_site_fract_x
_atom_site_fract_y
_atom_site_fract_z
Mg1 Mg 0.000 0.000 0.000
Ge1 Ge 0.000 0.500 0.500
N1 N 0.500 0.500 0.500
```

- Density of states at the Fermi level: 4.0 states/eV/cell
- Raw formation energy: 0.551 eV/atom
- Excess energy over the best structure of this formula in the dataset: 0 meV/atom


# 8
The following is a DFT calculation (PBE-GGA) of Mg3GeN after structural relaxation.

Geometry as CIF:
```
data_Mg3GeN
_chemical_formula_sum 'Mg3 Ge1 N1'
_space_group_name_H-M_alt 'P m -3 m'
_space_group_IT_number 221
_space_group_name_Hall '-P 4 2 3'
_cell_length_a 4.278
_cell_length_b 4.278
_cell_length_c 4.278
_cell_angle_alpha 90.00
_cell_angle_beta 90.00
_cell_angle_gamma 90.00
loop_
_atom_site_label
_atom_site_type_symbol
_atom_site_fract_x
_atom_site_fract_y
_atom_site_fract_z
Mg1 Mg 0.000 0.000 0.500
Ge1 Ge 0.500 0.500 0.500
N1 N 0.000 0.000 0.000
```

- Density of states at the Fermi level: 3.7 states/eV/cell
- Raw formation energy: -0.435 eV/atom
- Excess energy over the best structure of this formula in the dataset: 0 meV/atom


# 9
The following is a DFT calculation (PBE-GGA) of Mg2GeN after structural relaxation.

Geometry as CIF:
```
data_Mg2GeN
_chemical_formula_sum 'Mg8 Ge4 N4'
_space_group_name_H-M_alt 'I -4 2 d'
_space_group_IT_number 122
_space_group_name_Hall 'I -4 2bw'
_cell_length_a 6.092
_cell_length_b 6.092
_cell_length_c 8.096
_cell_angle_alpha 90.00
_cell_angle_beta 90.00
_cell_angle_gamma 90.00
loop_
_atom_site_label
_atom_site_type_symbol
_atom_site_fract_x
_atom_site_fract_y
_atom_site_fract_z
Mg1 Mg 0.125 0.250 0.125
Ge1 Ge 0.000 0.000 0.500
N1 N 0.000 0.000 0.000
```

- Density of states at the Fermi level: 3.9 states/eV/cell
- Raw formation energy: -0.108 eV/atom
- Excess energy over the best structure of this formula in the dataset: 0 meV/atom


# 10
The following is a DFT calculation (PBE-GGA) of MgGe3N after structural relaxation.

Geometry as CIF:
```
data_MgGe3N
_chemical_formula_sum 'Mg1 Ge3 N1'
_space_group_name_H-M_alt 'P m -3 m'
_space_group_IT_number 221
_space_group_name_Hall '-P 4 2 3'
_cell_length_a 5.047
_cell_length_b 5.047
_cell_length_c 5.047
_cell_angle_alpha 90.00
_cell_angle_beta 90.00
_cell_angle_gamma 90.00
loop_
_atom_site_label
_atom_site_type_symbol
_atom_site_fract_x
_atom_site_fract_y
_atom_site_fract_z
Mg1 Mg 0.000 0.000 0.000
Ge1 Ge 0.000 0.000 0.500
N1 N 0.500 0.500 0.500
```

- Density of states at the Fermi level: 3.5 states/eV/cell
- Raw formation energy: 1.711 eV/atom
- Excess energy over the best structure of this formula in the dataset: 1160 meV/atom


# 11
The following is a DFT calculation (PBE-GGA) of MgGeN2 after structural relaxation.

Geometry as CIF:
```
data_MgGeN2
_chemical_formula_sum 'Mg3 Ge3 N6'
_space_group_name_H-M_alt 'R -3 m'
_space_group_IT_number 166
_space_group_name_Hall '-R 3 2"'
_cell_length_a 3.1087
_cell_length_b 3.1087
_cell_length_c 17.8248
_cell_angle_alpha 90.00
_cell_angle_beta 90.00
_cell_angle_gamma 120.00
loop_
_atom_site_label
_atom_site_type_symbol
_atom_site_fract_x
_atom_site_fract_y
_atom_site_fract_z
Mg1 Mg 0.0000 0.0000 0.0000
Ge1 Ge 0.0000 0.0000 0.5000
N1 N 0.0000 0.0000 0.1097
```

- Density of states at the Fermi level: 2.4 states/eV/cell
- Raw formation energy: 0.289 eV/atom


# 12
The following is a DFT calculation (PBE-GGA) of Mg3GeN after structural relaxation.

Geometry as CIF:
```
data_Mg3GeN
_chemical_formula_sum 'Mg3 Ge1 N1'
_space_group_name_H-M_alt 'P m -3 m'
_space_group_IT_number 221
_space_group_name_Hall '-P 4 2 3'
_cell_length_a 4.919
_cell_length_b 4.919
_cell_length_c 4.919
_cell_angle_alpha 90.00
_cell_angle_beta 90.00
_cell_angle_gamma 90.00
loop_
_atom_site_label
_atom_site_type_symbol
_atom_site_fract_x
_atom_site_fract_y
_atom_site_fract_z
Mg1 Mg 0.000 0.000 0.500
Ge1 Ge 0.000 0.000 0.000
N1 N 0.500 0.500 0.500
```

- Density of states at the Fermi level: 2.8 states/eV/cell
- Raw formation energy: 0.898 eV/atom
- Excess energy over the best structure of this formula in the dataset: 1333 meV/atom


Question: Which formula does entry 12 have?
Answer: Mg3GeN


Question: What is the formula in the ninth record?
Answer: Mg2GeN